[1]
VASP calculation (PBE) on a relaxed structure of K4YSc.

Cell: 10.380 10.380 10.380 Å, 90.00 90.00 90.00°
Space group F-43m (No. 216)
Inequivalent atoms, fractional coordinates:
K 0.125 0.125 0.125 (multiplicity 16)
Y 0.000 0.000 0.500 (multiplicity 4)
Sc 0.250 0.250 0.750 (multiplicity 4)

Summary:
The value obtained for the calculated density is 1.72 g/cm3. As for the total energy: -2.116 eV per atom. The calculation puts the formation energy at 0.7481 eV per atom.



[2]
VASP calculation (PBE) on a relaxed structure of CeAlCoRu.

Cell: 6.403 6.403 6.403 Å, 90.00 90.00 90.00°
Space group F-43m (No. 216)
Inequivalent atoms, fractional coordinates:
Ce 0.000 0.000 0.000 (multiplicity 4)
Al 0.000 0.000 0.500 (multiplicity 4)
Co 0.250 0.250 0.750 (multiplicity 4)
Ru 0.250 0.250 0.250 (multiplicity 4)

Summary:
The value obtained for the calculated density is 8.28 g/cm3. As for the total energy: -6.869 eV per atom. The calculation puts the formation energy at -0.3543 eV per atom.



[3]
VASP calculation (PBE) on a relaxed structure of CaMnTc2.

Cell: 4.639 4.639 3.045 Å, 90.00 90.00 90.00°
Space group P4/mmm (No. 123)
Inequivalent atoms, fractional coordinates:
Ca 0.000 0.000 0.000 (multiplicity 1)
Mn 0.500 0.500 0.000 (multiplicity 1)
Tc 0.000 0.500 0.500 (multiplicity 2)

Summary:
The value obtained for the calculated density is 7.38 g/cm3. As for the total energy: -7.189 eV per atom. The calculation puts the formation energy at 0.7872 eV per atom.



[4]
VASP calculation (PBE) on a relaxed structure of TaBPd3.

Cell: 4.850 4.850 4.850 Å, 90.00 90.00 90.00°
Space group Pm-3m (No. 221)
Inequivalent atoms, fractional coordinates:
Ta 0.000 0.000 0.000 (multiplicity 1)
B 0.500 0.500 0.500 (multiplicity 1)
Pd 0.000 0.000 0.500 (multiplicity 3)

Summary:
The value obtained for the calculated density is 7.44 g/cm3. As for the total energy: -5.060 eV per atom. The calculation puts the formation energy at 1.7616 eV per atom.



[5]
VASP calculation (PBE) on a relaxed structure of Re4Tc2Mo.

Cell: 4.288 4.288 6.139 Å, 90.00 90.00 90.00°
Space group P4/mmm (No. 123)
Inequivalent atoms, fractional coordinates:
Re 0.000 0.500 0.233 (multiplicity 4)
Tc 0.000 0.000 0.000 (multiplicity 1)
Tc 0.500 0.500 0.500 (multiplicity 1)
Mo 0.000 0.000 0.500 (multiplicity 1)

Summary:
The value obtained for the calculated density is 15.25 g/cm3. As for the total energy: -11.231 eV per atom. The calculation puts the formation energy at 0.3910 eV per atom.



[6]
VASP calculation (PBE) on a relaxed structure of Ta2CdHg.

Cell: 2.9798 2.9798 30.4500 Å, 90.00 90.00 120.00°
Space group R-3m (No. 166, hexagonal axes)
Inequivalent atoms, fractional coordinates:
Ta 0.0000 0.0000 0.2494 (multiplicity 6)
Cd 0.0000 0.0000 0.0000 (multiplicity 3)
Hg 0.0000 0.0000 0.5000 (multiplicity 3)

Summary:
The value obtained for the calculated density is 14.36 g/cm3. As for the total energy: -5.833 eV per atom. The calculation puts the formation energy at 0.3979 eV per atom.